This record from Alexandria via LeMat-Bulk describes Na3CrCl6 after structural relaxation. The functional is GGA-PBEsol.

Values from the calculation:
space-group type	P-31c (163)
crystal system	trigonal
V	23.8	Å³ per atom
E_form (uncorrected)	-145	kJ per mole of atoms
calculated total energy	-4.16	eV/atom

Lattice parameters (Å, degrees): 6.798 6.798 11.908 90.00 90.00 120.00
Sites, in units of the cell vectors:
Na 0.000 0.000 0.250
Na 0.000 0.000 0.750
Na 0.333 0.667 0.043
Na 0.333 0.667 0.457
Na 0.667 0.333 0.543
Na 0.667 0.333 0.957
Cr 0.333 0.667 0.750
Cr 0.667 0.333 0.250
Cl 0.060 0.383 0.865
Cl 0.060 0.677 0.635
Cl 0.323 0.383 0.635
Cl 0.323 0.940 0.865
Cl 0.383 0.060 0.365
Cl 0.383 0.323 0.135
Cl 0.617 0.677 0.865
Cl 0.617 0.940 0.635
Cl 0.677 0.060 0.135
Cl 0.677 0.617 0.365
Cl 0.940 0.323 0.365
Cl 0.940 0.617 0.135